# AlTe2I8 PBE-GGA optimized geometry
# total magnetization = 0.000 μB/cell
# total energy = -2.15 eV/atom
# formation energy without anion corrections = -0.12 eV/atom
data_AlTe2I8
_cell_length_a 14.5525
_cell_length_b 8.0200
_cell_length_c 11.4969
_cell_angle_alpha 90.00
_cell_angle_beta 94.78
_cell_angle_gamma 90.00
_space_group_name_H-M_alt 'C 1 2/m 1'
_space_group_IT_number 12
loop_
_space_group_symop_operation_xyz
'x,y,z'
'-x,-y,-z'
'-x,y,-z'
'x,-y,z'
'x+1/2,y+1/2,z'
'-x+1/2,-y+1/2,-z'
'-x+1/2,y+1/2,-z'
'x+1/2,-y+1/2,z'
loop_
_atom_site_label
_atom_site_type_symbol
_atom_site_fract_x
_atom_site_fract_y
_atom_site_fract_z
Al1 Al 0.0000 0.0000 0.0000
Te1 Te 0.2161 0.0000 0.3572
I1 I 0.0895 0.2335 0.1248
I2 I 0.1263 0.5000 0.7522
I3 I 0.2164 0.5000 0.4124